## P
Below is a geometry-optimized Li2TlBiPb structure, with properties calculated at the PBE level.

Computed properties:
**Magnetic moment**: 0.000 μB per formula unit
**DOS at the Fermi energy**: 3.38 states/eV/cell

a = 5.310 Å, b = 6.037 Å, c = 5.310 Å
α = 90.00°, β = 90.00°, γ = 90.00°
Atoms (fractional coordinates):
Pb 0.000 0.000 0.000
Tl 0.500 0.500 0.500
Bi 0.000 0.500 0.000
Li 0.000 0.000 0.500
Li 0.500 0.000 0.000

## Q
Below is a geometry-optimized Li2TlBiPb structure, with properties calculated at the PBE level.

Computed properties:
**Magnetic moment**: 0.000 μB per formula unit
**DOS at the Fermi energy**: 1.69 states/eV/cell

a = 4.917 Å, b = 4.917 Å, c = 6.007 Å
α = 90.00°, β = 90.00°, γ = 120.00°
Atoms (fractional coordinates):
Li 0.333 0.667 0.159
Li 0.667 0.333 0.847
Tl 0.333 0.667 0.653
Bi 0.667 0.333 0.347
Pb 0.000 0.000 0.994

What should be chosen as the least stable of them? Choose P.

## P
Below is a geometry-optimized Li3Bi2Pd3 structure, with properties calculated at the PBE level.

Computed properties:
**Magnetic moment**: 0.000 μB per formula unit
**DOS at the Fermi energy**: 2.90 states/eV/cell

a = 4.663 Å, b = 4.663 Å, c = 8.126 Å
α = 72.35°, β = 72.35°, γ = 59.49°
Atoms (fractional coordinates):
Li 0.248 0.248 0.258
Li 0.752 0.752 0.742
Li 0.625 0.625 0.126
Bi 0.003 0.003 0.993
Bi 0.497 0.497 0.507
Pd 0.124 0.124 0.622
Pd 0.877 0.877 0.367
Pd 0.374 0.374 0.884

## Q
Below is a geometry-optimized Li3Bi2Pd3 structure, with properties calculated at the PBE level.

Computed properties:
**Magnetic moment**: 0.000 μB per formula unit
**DOS at the Fermi energy**: 3.30 states/eV/cell

a = 5.075 Å, b = 4.781 Å, c = 6.939 Å
α = 110.15°, β = 111.38°, γ = 90.00°
Atoms (fractional coordinates):
Li 0.384 0.887 0.775
Li 0.616 0.113 0.225
Li 0.000 0.000 0.000
Bi 0.738 0.740 0.480
Bi 0.262 0.260 0.520
Pd 0.883 0.381 0.762
Pd 0.500 0.500 0.000
Pd 0.117 0.619 0.238

What should be chosen as the least stable of them? Choose Q.

## P
Below is a geometry-optimized Li2Bi3Pd4 structure, with properties calculated at the PBE level.

Computed properties:
**Magnetic moment**: 0.000 μB per formula unit
**DOS at the Fermi energy**: 6.68 states/eV/cell

a = 5.060 Å, b = 8.451 Å, c = 8.451 Å
α = 74.69°, β = 98.32°, γ = 98.32°
Atoms (fractional coordinates):
Li 0.622 0.160 0.401
Li 0.878 0.599 0.841
Li 0.378 0.840 0.599
Li 0.122 0.401 0.159
Bi 0.065 0.031 0.287
Bi 0.435 0.713 0.969
Bi 0.935 0.969 0.713
Bi 0.565 0.287 0.031
Bi 0.250 0.624 0.376
Bi 0.750 0.376 0.624
Pd 0.526 0.935 0.196
Pd 0.974 0.804 0.065
Pd 0.474 0.065 0.804
Pd 0.026 0.196 0.935
Pd 0.187 0.268 0.492
Pd 0.313 0.508 0.732
Pd 0.813 0.732 0.508
Pd 0.687 0.492 0.268

## Q
Below is a geometry-optimized Li2Bi3Pd4 structure, with properties calculated at the PBE level.

Computed properties:
**Magnetic moment**: 0.000 μB per formula unit
**DOS at the Fermi energy**: 3.19 states/eV/cell

a = 4.783 Å, b = 4.811 Å, c = 8.814 Å
α = 89.56°, β = 90.08°, γ = 60.00°
Atoms (fractional coordinates):
Li 0.333 0.333 0.782
Li 0.667 0.667 0.218
Bi 0.335 0.333 0.397
Bi 0.000 0.000 0.000
Bi 0.665 0.667 0.603
Pd 0.667 0.667 0.911
Pd 0.003 0.999 0.334
Pd 0.997 0.001 0.666
Pd 0.333 0.333 0.089

What should be chosen as the least stable of them? Choose Q.

## P
Below is a geometry-optimized LiBiPd4 structure, with properties calculated at the PBE level.

Computed properties:
**Magnetic moment**: 0.000 μB per formula unit
**DOS at the Fermi energy**: 1.02 states/eV/cell

a = 5.353 Å, b = 5.353 Å, c = 5.353 Å
α = 60.00°, β = 60.00°, γ = 60.00°
Atoms (fractional coordinates):
Bi 0.250 0.250 0.250
Pd 0.625 0.625 0.125
Pd 0.625 0.125 0.625
Pd 0.625 0.625 0.625
Pd 0.125 0.625 0.625
Li 0.000 0.000 0.000

## Q
Below is a geometry-optimized LiBiPd4 structure, with properties calculated at the PBE level.

Computed properties:
**Magnetic moment**: 0.000 μB per formula unit
**DOS at the Fermi energy**: 4.52 states/eV/cell

a = 4.808 Å, b = 9.012 Å, c = 4.783 Å
α = 90.00°, β = 74.45°, γ = 90.00°
Atoms (fractional coordinates):
Li 0.500 0.000 0.500
Li 0.000 0.500 0.500
Bi 0.000 0.000 0.000
Bi 0.500 0.500 0.000
Pd 0.000 0.662 0.000
Pd 0.500 0.162 0.000
Pd 0.500 0.334 0.500
Pd 0.000 0.834 0.500
Pd 0.000 0.338 0.000
Pd 0.500 0.838 0.000
Pd 0.500 0.666 0.500
Pd 0.000 0.166 0.500

## R
Below is a geometry-optimized LiBiPd4 structure, with properties calculated at the PBE level.

Computed properties:
**Magnetic moment**: 0.000 μB per formula unit
**DOS at the Fermi energy**: 2.26 states/eV/cell

a = 4.026 Å, b = 5.027 Å, c = 6.275 Å
α = 104.21°, β = 71.29°, γ = 66.39°
Atoms (fractional coordinates):
Li 0.000 0.000 0.000
Bi 0.500 0.500 0.500
Pd 0.836 0.490 0.837
Pd 0.343 0.998 0.315
Pd 0.164 0.510 0.163
Pd 0.657 0.002 0.685

What should be chosen as the least stable of them? Choose P.